(1)
{"formula": "BaSr4Ga4", "functional": "PBE-GGA", "state": "relaxed", "n_ef_per_ev_cell": 16.769, "formation_enthalpy_0k_ev_per_fu": -2.31, "rho_g_cm3": 3.676, "lattice": [[-5.011, 3.107, -2.793], [-5.730, -8.526, 0.796], [-3.271, 3.065, 9.277]], "species": ["Ba", "Ba", "Sr", "Sr", "Sr", "Sr", "Sr", "Sr", "Sr", "Sr", "Ga", "Ga", "Ga", "Ga", "Ga", "Ga", "Ga", "Ga"], "fractional_positions": [[0.000, 0.000, 0.000], [0.500, 0.500, 0.500], [0.371, 0.337, 0.904], [0.871, 0.596, 0.837], [0.371, 0.663, 0.096], [0.129, 0.163, 0.596], [0.629, 0.904, 0.663], [0.129, 0.837, 0.404], [0.871, 0.404, 0.163], [0.629, 0.096, 0.337], [0.636, 0.781, 0.342], [0.636, 0.219, 0.658], [0.136, 0.842, 0.719], [0.864, 0.281, 0.842], [0.864, 0.719, 0.158], [0.364, 0.342, 0.219], [0.364, 0.658, 0.781], [0.136, 0.158, 0.281]]}

(2)
{"formula": "BaSrGa4", "functional": "PBE-GGA", "state": "relaxed", "n_ef_per_ev_cell": 3.171, "formation_enthalpy_0k_ev_per_fu": -2.89, "rho_g_cm3": 4.974, "lattice": [[4.403, 0.000, 0.000], [2.202, 6.292, -0.095], [2.202, 1.750, 6.045]], "species": ["Ba", "Sr", "Ga", "Ga", "Ga", "Ga"], "fractional_positions": [[0.000, 0.000, 0.000], [0.500, 0.500, 0.500], [0.249, 0.418, 0.085], [0.249, 0.085, 0.418], [0.751, 0.582, 0.915], [0.751, 0.915, 0.582]]}

(3)
{"formula": "Ba3Sr7Ga4", "functional": "PBE-GGA", "state": "relaxed", "n_ef_per_ev_cell": 20.728, "formation_enthalpy_0k_ev_per_fu": -2.48, "rho_g_cm3": 3.731, "lattice": [[-1.565, -2.805, 4.507], [8.266, -5.534, 2.825], [4.963, 5.414, 8.491]], "species": ["Ba", "Ba", "Ba", "Sr", "Sr", "Sr", "Sr", "Sr", "Sr", "Sr", "Ga", "Ga", "Ga", "Ga"], "fractional_positions": [[0.308, 0.179, 0.204], [0.692, 0.821, 0.796], [0.000, 0.500, 0.500], [0.305, 0.848, 0.541], [0.494, 0.246, 0.767], [0.831, 0.424, 0.915], [0.695, 0.152, 0.459], [0.169, 0.576, 0.085], [0.000, 0.000, 0.000], [0.506, 0.754, 0.233], [0.677, 0.426, 0.221], [0.323, 0.574, 0.779], [0.894, 0.882, 0.330], [0.106, 0.118, 0.670]]}

(4)
{"formula": "BaSr2Ga2", "functional": "PBE-GGA", "state": "relaxed", "n_ef_per_ev_cell": 5.597, "formation_enthalpy_0k_ev_per_fu": -1.31, "rho_g_cm3": 3.864, "lattice": [[4.603, 0.000, 0.000], [0.000, 6.594, 0.302], [-2.302, -1.588, 6.328]], "species": ["Ba", "Sr", "Sr", "Ga", "Ga"], "fractional_positions": [[0.000, 0.000, 0.000], [0.344, 0.404, 0.689], [0.656, 0.596, 0.311], [0.728, 0.099, 0.455], [0.272, 0.901, 0.545]]}

(5)
{"formula": "BaSrGa3", "functional": "PBE-GGA", "state": "relaxed", "n_ef_per_ev_cell": 8.619, "formation_enthalpy_0k_ev_per_fu": 2.52, "rho_g_cm3": 3.560, "lattice": [[5.872, 0.000, 0.000], [0.000, 5.872, 0.000], [0.000, 0.000, 5.872]], "species": ["Sr", "Ba", "Ga", "Ga", "Ga"], "fractional_positions": [[0.500, 0.500, 0.500], [0.000, 0.000, 0.000], [0.000, 0.500, 0.000], [0.000, 0.000, 0.500], [0.500, 0.000, 0.000]]}

(6)
{"formula": "Ba3Sr2Ga2", "functional": "PBE-GGA", "state": "relaxed", "n_ef_per_ev_cell": 8.013, "formation_enthalpy_0k_ev_per_fu": -1.34, "rho_g_cm3": 3.845, "lattice": [[-0.277, -2.589, 3.504], [6.867, -1.848, -3.543], [1.461, 9.259, 4.225]], "species": ["Ba", "Ba", "Ba", "Sr", "Sr", "Ga", "Ga"], "fractional_positions": [[0.500, 0.000, 0.000], [0.187, 0.808, 0.567], [0.813, 0.192, 0.433], [0.655, 0.485, 0.826], [0.345, 0.515, 0.174], [0.035, 0.853, 0.215], [0.965, 0.147, 0.785]]}

(7)
{"formula": "BaSr3Ga3", "functional": "PBE-GGA", "state": "relaxed", "n_ef_per_ev_cell": 16.913, "formation_enthalpy_0k_ev_per_fu": -1.56, "rho_g_cm3": 3.995, "lattice": [[7.263, 0.000, 3.674], [2.702, 6.741, 3.674], [-0.490, -0.332, 9.985]], "species": ["Ba", "Ba", "Sr", "Sr", "Sr", "Sr", "Sr", "Sr", "Ga", "Ga", "Ga", "Ga", "Ga", "Ga"], "fractional_positions": [[0.580, 0.580, 0.261], [0.420, 0.420, 0.739], [0.403, 0.901, 0.796], [0.901, 0.901, 0.796], [0.901, 0.403, 0.796], [0.099, 0.597, 0.204], [0.099, 0.099, 0.204], [0.597, 0.099, 0.204], [0.288, 0.288, 0.500], [0.924, 0.288, 0.500], [0.288, 0.924, 0.500], [0.712, 0.076, 0.500], [0.076, 0.712, 0.500], [0.712, 0.712, 0.500]]}

(8)
{"formula": "BaSr2Ga2", "functional": "PBE-GGA", "state": "relaxed", "n_ef_per_ev_cell": 9.075, "formation_enthalpy_0k_ev_per_fu": -1.13, "rho_g_cm3": 4.443, "lattice": [[-1.537, -8.237, 4.212], [9.007, -0.357, 2.590], [-0.866, 1.831, 3.264]], "species": ["Sr", "Sr", "Sr", "Sr", "Ba", "Ba", "Ga", "Ga", "Ga", "Ga"], "fractional_positions": [[0.366, 0.866, 0.000], [0.866, 0.634, 0.000], [0.634, 0.134, 0.000], [0.134, 0.366, 0.000], [0.000, 0.000, 0.000], [0.500, 0.500, 0.000], [0.163, 0.663, 0.500], [0.663, 0.837, 0.500], [0.837, 0.337, 0.500], [0.337, 0.163, 0.500]]}

Here are the calculated total energy numbers, same order: -23.07 -18.60 -32.12 -12.65 -10.16 -16.53 -17.61 -12.47 (eV/f.u.).